Entry 1:
# Ti2SbAu2 (PBE, relaxed)
# Density of states at the Fermi level, states/eV per cell: 11.11
# M_tot, μB/atom: 0.000
# Energy relative to the elements, uncorrected, eV/atom: -0.214
# Energy above the lowest structure with this stoichiometry, eV/f.u.: 0.00
data_Ti2SbAu2
_chemical_formula_sum 'Ti4 Sb2 Au4'
_space_group_name_H-M_alt 'P 4/m b m'
_space_group_IT_number 127
_space_group_name_Hall '-P 4 2ab'
_cell_length_a 7.1237
_cell_length_b 7.1237
_cell_length_c 3.8645
_cell_angle_alpha 90.00
_cell_angle_beta 90.00
_cell_angle_gamma 90.00
loop_
_atom_site_label
_atom_site_type_symbol
_atom_site_fract_x
_atom_site_fract_y
_atom_site_fract_z
Ti1 Ti 0.1485 0.3515 0.0000
Sb1 Sb 0.0000 0.0000 0.0000
Au1 Au 0.1419 0.6419 0.5000

Entry 2:
# TiV2SbAu (PBE, relaxed)
# Density of states at the Fermi level, states/eV per cell: 8.42
# M_tot, μB/atom: 0.701
# Energy relative to the elements, uncorrected, eV/atom: 0.883
data_TiV2SbAu
_chemical_formula_sum 'Ti1 V2 Sb1 Au1'
_space_group_name_H-M_alt 'P 4/m m m'
_space_group_IT_number 123
_space_group_name_Hall '-P 4 2'
_cell_length_a 4.8743
_cell_length_b 4.8743
_cell_length_c 4.8898
_cell_angle_alpha 90.00
_cell_angle_beta 90.00
_cell_angle_gamma 90.00
loop_
_atom_site_label
_atom_site_type_symbol
_atom_site_fract_x
_atom_site_fract_y
_atom_site_fract_z
Ti1 Ti 0.0000 0.0000 0.0000
V1 V 0.0000 0.5000 0.5000
Sb1 Sb 0.5000 0.5000 0.0000
Au1 Au 0.0000 0.0000 0.5000

Entry 3:
# TiVSb2Au (PBE, relaxed)
# Density of states at the Fermi level, states/eV per cell: 9.67
# M_tot, μB/atom: 0.014
# Energy relative to the elements, uncorrected, eV/atom: 0.891
data_TiVSb2Au
_chemical_formula_sum 'Ti1 V1 Sb2 Au1'
_space_group_name_H-M_alt 'P 4/m m m'
_space_group_IT_number 123
_space_group_name_Hall '-P 4 2'
_cell_length_a 5.1514
_cell_length_b 5.1514
_cell_length_c 5.0177
_cell_angle_alpha 90.00
_cell_angle_beta 90.00
_cell_angle_gamma 90.00
loop_
_atom_site_label
_atom_site_type_symbol
_atom_site_fract_x
_atom_site_fract_y
_atom_site_fract_z
Ti1 Ti 0.0000 0.0000 0.0000
V1 V 0.5000 0.5000 0.5000
Sb1 Sb 0.0000 0.5000 0.0000
Au1 Au 0.0000 0.0000 0.5000

Entry 4:
# TiZn2SbAu (PBE, relaxed)
# Density of states at the Fermi level, states/eV per cell: 4.55
# M_tot, μB/atom: 0.367
# Energy relative to the elements, uncorrected, eV/atom: 0.732
data_TiZn2SbAu
_chemical_formula_sum 'Ti1 Zn2 Sb1 Au1'
_space_group_name_H-M_alt 'P 4/m m m'
_space_group_IT_number 123
_space_group_name_Hall '-P 4 2'
_cell_length_a 5.0247
_cell_length_b 5.0247
_cell_length_c 5.2518
_cell_angle_alpha 90.00
_cell_angle_beta 90.00
_cell_angle_gamma 90.00
loop_
_atom_site_label
_atom_site_type_symbol
_atom_site_fract_x
_atom_site_fract_y
_atom_site_fract_z
Ti1 Ti 0.0000 0.0000 0.0000
Zn1 Zn 0.0000 0.5000 0.5000
Sb1 Sb 0.0000 0.0000 0.5000
Au1 Au 0.5000 0.5000 0.0000

Entry 5:
# TlSb2Au (PBE, relaxed)
# Density of states at the Fermi level, states/eV per cell: 3.43
# M_tot, μB/atom: 0.000
# Energy relative to the elements, uncorrected, eV/atom: 0.192
# Energy above the lowest structure with this stoichiometry, eV/f.u.: 1.01
data_TlSb2Au
_chemical_formula_sum 'Tl2 Sb4 Au2'
_space_group_name_H-M_alt 'I 4/m m m'
_space_group_IT_number 139
_space_group_name_Hall '-I 4 2'
_cell_length_a 4.3493
_cell_length_b 4.3493
_cell_length_c 11.2975
_cell_angle_alpha 90.00
_cell_angle_beta 90.00
_cell_angle_gamma 90.00
loop_
_atom_site_label
_atom_site_type_symbol
_atom_site_fract_x
_atom_site_fract_y
_atom_site_fract_z
Tl1 Tl 0.0000 0.0000 0.0000
Sb1 Sb 0.0000 0.5000 0.2500
Au1 Au 0.0000 0.0000 0.5000

Entry 6:
# Tl12Sb3Au (PBE, relaxed)
# Density of states at the Fermi level, states/eV per cell: 6.15
# M_tot, μB/atom: 0.000
# Energy relative to the elements, uncorrected, eV/atom: 0.012
data_Tl12Sb3Au
_chemical_formula_sum 'Tl12 Sb3 Au1'
_space_group_name_H-M_alt 'P 4/m m m'
_space_group_IT_number 123
_space_group_name_Hall '-P 4 2'
_cell_length_a 4.9758
_cell_length_b 4.9758
_cell_length_c 19.3978
_cell_angle_alpha 90.00
_cell_angle_beta 90.00
_cell_angle_gamma 90.00
loop_
_atom_site_label
_atom_site_type_symbol
_atom_site_fract_x
_atom_site_fract_y
_atom_site_fract_z
Tl1 Tl 0.0000 0.0000 0.0000
Tl2 Tl 0.0000 0.0000 0.2470
Tl3 Tl 0.0000 0.0000 0.5000
Tl4 Tl 0.0000 0.5000 0.1208
Tl5 Tl 0.0000 0.5000 0.3734
Sb1 Sb 0.5000 0.5000 0.2439
Sb2 Sb 0.5000 0.5000 0.5000
Au1 Au 0.5000 0.5000 0.0000